[1]
! Ba2W | Alexandria via LeMat-Bulk | meta-GGA SCAN | PBEsol geometry; values from VASP
&SYSTEM
  ibrav = 0, nat = 6, ntyp = 2
/
ATOMIC_SPECIES
Ba 137.33 Ba.upf
W 183.84 W.upf
ATOMIC_POSITIONS crystal
Ba 0.696 0.750 0.392
Ba 0.419 0.750 0.837
Ba 0.304 0.250 0.608
Ba 0.581 0.250 0.163
W 0.020 0.750 0.041
W 0.980 0.250 0.959
CELL_PARAMETERS angstrom
3.561 0.000 0.000
0.000 4.090 0.000
-1.780 0.000 15.857
! - ΔE to the lowest computed polymorph: 0 meV/atom
! - Total DFT energy (no corrections): -48.6827 eV per atom
! - Formation enthalpy at 0 K: 0.913 eV/atom
! - Mass density: 6.6 Mg/m³

=====

[2]
! BaZn2W | Alexandria via LeMat-Bulk | meta-GGA SCAN | PBEsol geometry; values from VASP
&SYSTEM
  ibrav = 0, nat = 4, ntyp = 3
/
ATOMIC_SPECIES
Ba 137.33 Ba.upf
W 183.84 W.upf
Zn 65.41 Zn.upf
ATOMIC_POSITIONS crystal
Ba 0.000 0.000 0.491
W 0.500 0.500 0.814
Zn 0.000 0.000 0.010
Zn 0.500 0.500 0.185
CELL_PARAMETERS angstrom
-2.400 -1.730 -0.434
0.023 -0.758 2.892
-5.188 6.744 1.810
! - ΔE to the lowest computed polymorph: 0 meV/atom
! - Total DFT energy (no corrections): -33.3707 eV per atom
! - Formation enthalpy at 0 K: 0.696 eV/atom
! - Mass density: 9.7 Mg/m³

=====

[3]
! Ba3ZnW | Alexandria via LeMat-Bulk | meta-GGA SCAN | PBEsol geometry; values from VASP
&SYSTEM
  ibrav = 0, nat = 5, ntyp = 3
/
ATOMIC_SPECIES
Zn 65.41 Zn.upf
Ba 137.33 Ba.upf
W 183.84 W.upf
ATOMIC_POSITIONS crystal
Zn 0.000 0.000 0.000
Ba 0.000 0.500 0.000
Ba 0.000 0.000 0.500
Ba 0.500 0.000 0.000
W 0.500 0.500 0.500
CELL_PARAMETERS angstrom
6.078 0.000 0.000
0.000 6.078 0.000
0.000 0.000 6.078
! - Total DFT energy (no corrections): -39.1461 eV per atom
! - Formation enthalpy at 0 K: 1.225 eV/atom
! - Mass density: 4.9 Mg/m³

=====

Repeat the second record exactly.
! BaZn2W | Alexandria via LeMat-Bulk | meta-GGA SCAN | PBEsol geometry; values from VASP
&SYSTEM
  ibrav = 0, nat = 4, ntyp = 3
/
ATOMIC_SPECIES
Ba 137.33 Ba.upf
W 183.84 W.upf
Zn 65.41 Zn.upf
ATOMIC_POSITIONS crystal
Ba 0.000 0.000 0.491
W 0.500 0.500 0.814
Zn 0.000 0.000 0.010
Zn 0.500 0.500 0.185
CELL_PARAMETERS angstrom
-2.400 -1.730 -0.434
0.023 -0.758 2.892
-5.188 6.744 1.810
! - ΔE to the lowest computed polymorph: 0 meV/atom
! - Total DFT energy (no corrections): -33.3707 eV per atom
! - Formation enthalpy at 0 K: 0.696 eV/atom
! - Mass density: 9.7 Mg/m³

=====

Which value of mass density does entry 1 give?
6.6 Mg/m³

=====

What is the formula in the second record?
BaZn2W